Entry 1:
LaTlCuNi, relaxed, DFT GGA-PBE; E_tot = -4.41 eV per atom
1.0
0.000 3.435 3.435
3.435 0.000 3.435
3.435 3.435 0.000
La Tl Cu Ni
1 1 1 1
Cartesian
0.000 0.000 0.000
3.435 3.435 3.435
1.718 1.718 1.718
5.153 5.153 5.153

***

Entry 2:
LaTmCuNi, relaxed, DFT GGA-PBE; E_tot = -5.08 eV per atom
1.0
0.000 3.494 3.494
3.494 0.000 3.494
3.494 3.494 0.000
La Tm Cu Ni
1 1 1 1
Cartesian
0.000 0.000 0.000
3.494 3.494 3.494
1.747 1.747 1.747
5.242 5.242 5.242

***

Entry 3:
La2UCu3Ni12, relaxed, DFT GGA-PBE; E_tot = -5.71 eV per atom
1.0
4.246 2.451 4.153
-4.246 2.451 4.153
0.000 -4.903 4.153
La U Cu Ni
2 1 3 12
Cartesian
0.000 0.000 2.380
0.000 0.000 10.079
0.000 0.000 6.230
-2.123 -1.226 4.153
-2.123 1.226 8.306
0.000 2.451 4.153
0.000 -2.620 3.406
-2.269 1.310 3.406
-2.003 -1.157 6.721
0.000 -2.313 5.738
-2.003 1.157 5.738
-2.269 -1.310 9.054
2.269 1.310 3.406
2.003 -1.157 6.721
0.000 2.313 6.721
2.003 1.157 5.738
2.269 -1.310 9.054
0.000 2.620 9.054

***

Entry 4:
LaYCuNi, relaxed, DFT GGA-PBE; energy above the most stable polymorph in this dataset = 0.000 eV per atom
1.0
4.413 0.000 0.000
0.000 1.904 5.383
0.000 -1.904 5.383
La Y Cu Ni
1 1 1 1
Cartesian
0.000 0.000 0.000
2.206 0.000 2.942
0.000 0.000 7.668
2.206 0.000 6.164

***

Entry 5:
LaYCuNi, relaxed, DFT GGA-PBE; energy above the most stable polymorph in this dataset = 0.061 eV per atom
1.0
0.000 3.526 3.526
3.526 0.000 3.526
3.526 3.526 0.000
La Y Cu Ni
1 1 1 1
Cartesian
0.000 0.000 0.000
3.526 3.526 3.526
1.763 1.763 1.763
5.290 5.290 5.290

***

Entry 6:
La2ZnCu12Ni3, relaxed, DFT GGA-PBE; E_tot = -3.94 eV per atom
1.0
4.034 2.329 5.852
-4.034 2.329 5.852
0.000 -4.658 5.852
La Zn Cu Ni
2 1 12 3
Cartesian
0.000 0.000 1.905
0.000 0.000 15.651
0.000 0.000 8.778
-1.952 -1.127 8.216
0.000 -1.549 4.687
-1.341 0.774 4.687
0.000 -2.255 9.339
-1.952 1.127 9.339
1.341 0.774 4.687
-1.341 -0.774 12.868
1.952 -1.127 8.216
0.000 2.255 8.216
1.341 -0.774 12.868
0.000 1.549 12.868
1.952 1.127 9.339
-2.017 -1.165 5.852
-2.017 1.165 11.704
0.000 2.329 5.852

***

Entry 7:
La2Zn3CuNi12, relaxed, DFT GGA-PBE; E_tot = -4.73 eV per atom
1.0
3.048 1.760 8.432
-3.048 1.760 8.432
0.000 -3.520 8.432
La Zn Cu Ni
2 3 1 12
Cartesian
0.000 0.000 4.073
0.000 0.000 21.223
-1.524 -0.880 8.432
-1.524 0.880 16.864
0.000 1.760 8.432
0.000 0.000 12.648
0.000 -2.158 7.096
-1.869 1.079 7.096
-1.248 -0.721 10.829
-1.869 -1.079 18.200
0.000 -1.441 14.467
-1.248 0.721 14.467
1.248 -0.721 10.829
0.000 1.441 10.829
1.869 1.079 7.096
1.248 0.721 14.467
1.869 -1.079 18.200
0.000 2.158 18.200

***

Entry 8:
LaZnCu2Ni, relaxed, DFT GGA-PBE; E_tot = -4.26 eV per atom
1.0
-1.961 1.982 5.567
1.961 -1.982 5.567
1.961 1.982 -5.567
La Zn Cu Ni
1 1 2 1
Cartesian
0.000 0.000 0.000
1.961 0.000 2.888
0.000 0.000 6.900
0.000 1.982 2.909
0.000 0.000 4.438

***

Please write out number 6 again, unchanged.
La2ZnCu12Ni3, relaxed, DFT GGA-PBE; E_tot = -3.94 eV per atom
1.0
4.034 2.329 5.852
-4.034 2.329 5.852
0.000 -4.658 5.852
La Zn Cu Ni
2 1 12 3
Cartesian
0.000 0.000 1.905
0.000 0.000 15.651
0.000 0.000 8.778
-1.952 -1.127 8.216
0.000 -1.549 4.687
-1.341 0.774 4.687
0.000 -2.255 9.339
-1.952 1.127 9.339
1.341 0.774 4.687
-1.341 -0.774 12.868
1.952 -1.127 8.216
0.000 2.255 8.216
1.341 -0.774 12.868
0.000 1.549 12.868
1.952 1.127 9.339
-2.017 -1.165 5.852
-2.017 1.165 11.704
0.000 2.329 5.852